## CoSnOsO6 (GGA+U)

Data for an optimized crystal structure of CoSnOsO6.

Lattice parameters (Å, degrees): 5.114 5.114 9.069 90.00 90.00 120.00
Last column: magnetic moment on the atom in μB.
Fractional coordinates of all 18 atoms:
O  0.018  0.666  0.870  0.10
O  0.018  0.352  0.630  0.10
O  0.666  0.648  0.130  0.10
O  0.352  0.018  0.130  0.10
O  0.982  0.648  0.370  0.10
O  0.666  0.018  0.370  0.10
O  0.648  0.982  0.870  0.10
O  0.334  0.982  0.630  0.10
O  0.648  0.666  0.630  0.10
O  0.982  0.334  0.130  0.10
O  0.352  0.334  0.370  0.10
O  0.334  0.352  0.870  0.10
Os  0.333  0.667  0.750  1.27
Os  0.667  0.333  0.250  1.27
Co  0.667  0.333  0.750  2.71
Co  0.333  0.667  0.250  2.71
Sn  0.000  0.000  0.000  0.06
Sn  0.000  0.000  0.500  0.06

VASP energy   -6.678 eV/atom